The following is a PBE-GGA calculation of a relaxed structure of NaTmCu10, from Alexandria via LeMat-Bulk.

Cell lengths 4.059, 5.021, 8.690 Å; angles 90.00, 90.00, 90.00 degrees
Positions (direct):
Cu  0.000  0.500  0.832
Cu  0.500  0.500  0.000
Cu  0.500  0.000  0.500
Cu  0.500  0.756  0.756
Cu  0.000  0.500  0.168
Cu  0.000  0.000  0.334
Cu  0.500  0.244  0.244
Cu  0.000  0.000  0.666
Cu  0.500  0.244  0.756
Cu  0.500  0.756  0.244
Na  0.000  0.500  0.500
Tm  0.000  0.000  0.000

Summary:
As for the magnetization: 0.000 μB/cell. The formation energy is -0.058 eV/atom. The calculation puts the energy at -47.5 eV per cell.

***

The following is a PBE-GGA calculation of a relaxed structure of Na2V2Cu, from Alexandria via LeMat-Bulk.

Cell lengths 3.261, 3.261, 9.994 Å; angles 80.61, 80.61, 90.00 degrees
Positions (direct):
Na  0.601  0.601  0.799
Na  0.399  0.399  0.201
Cu  0.000  0.000  0.000
V  0.750  0.250  0.500
V  0.250  0.750  0.500

Summary:
The calculation puts the energy above the most stable polymorph in this dataset at 0 meV/atom. As for the magnetization: 0.001 μB/cell. The formation energy is 0.700 eV/atom. The calculation puts the energy at -21.5 eV per cell.

***

The following is a PBE-GGA calculation of a relaxed structure of NaV3Cu, from Alexandria via LeMat-Bulk.

Cell lengths 4.418, 4.418, 4.418 Å; angles 90.00, 90.00, 90.00 degrees
Positions (direct):
V  0.000  0.000  0.500
V  0.000  0.500  0.000
V  0.500  0.000  0.000
Na  0.000  0.000  0.000
Cu  0.500  0.500  0.500

Summary:
The calculation puts the energy above the most stable polymorph in this dataset at 989 meV/atom. As for the magnetization: 2.153 μB/cell. The formation energy is 2.321 eV/atom. The calculation puts the energy at -21.2 eV per cell.

***

The following is a PBE-GGA calculation of a relaxed structure of Na2VCu, from Alexandria via LeMat-Bulk.

Cell lengths 8.254, 8.254, 6.433 Å; angles 50.09, 50.09, 90.00 degrees
Positions (direct):
Na  0.082  0.625  0.250
Na  0.375  0.332  0.750
Na  0.875  0.918  0.750
Na  0.668  0.125  0.250
Cu  0.000  0.000  0.000
Cu  0.750  0.250  0.500
V  0.500  0.500  0.000
V  0.250  0.750  0.500

Summary:
As for the magnetization: 7.866 μB/cell. The formation energy is 0.918 eV/atom. The calculation puts the energy at -24.4 eV per cell.

***

The following is a PBE-GGA calculation of a relaxed structure of NaVCu3, from Alexandria via LeMat-Bulk.

Cell lengths 4.697, 4.697, 4.697 Å; angles 90.00, 90.00, 90.00 degrees
Positions (direct):
V  0.000  0.000  0.000
Cu  0.000  0.000  0.500
Cu  0.000  0.500  0.000
Cu  0.500  0.000  0.000
Na  0.500  0.500  0.500

Summary:
The calculation puts the energy above the most stable polymorph in this dataset at 0 meV/atom. As for the magnetization: 2.281 μB/cell. The formation energy is 0.962 eV/atom. The calculation puts the energy at -17.9 eV per cell.

***

The following is a PBE-GGA calculation of a relaxed structure of NaV3Cu, from Alexandria via LeMat-Bulk.

Cell lengths 4.724, 4.724, 4.724 Å; angles 90.00, 90.00, 90.00 degrees
Positions (direct):
V  0.000  0.000  0.500
V  0.500  0.000  0.000
V  0.000  0.500  0.000
Cu  0.000  0.000  0.000
Na  0.500  0.500  0.500

Summary:
The calculation puts the energy above the most stable polymorph in this dataset at 0 meV/atom. As for the magnetization: 8.515 μB/cell. The formation energy is 1.332 eV/atom. The calculation puts the energy at -26.1 eV per cell.

***

The following is a PBE-GGA calculation of a relaxed structure of Na2V2Cu, from Alexandria via LeMat-Bulk.

Cell lengths 8.827, 8.827, 2.865 Å; angles 90.00, 90.00, 90.00 degrees
Positions (direct):
Cu  0.000  0.000  0.000
Cu  0.500  0.500  0.000
Na  0.713  0.213  0.000
Na  0.213  0.287  0.000
Na  0.287  0.787  0.000
Na  0.787  0.713  0.000
V  0.427  0.073  0.500
V  0.073  0.573  0.500
V  0.927  0.427  0.500
V  0.573  0.927  0.500

Summary:
The calculation puts the energy above the most stable polymorph in this dataset at 379 meV/atom. As for the magnetization: 0.000 μB/cell. The formation energy is 1.079 eV/atom. The calculation puts the energy at -39.2 eV per cell.

***

The following is a PBE-GGA calculation of a relaxed structure of Na2VCu, from Alexandria via LeMat-Bulk.

Cell lengths 4.954, 4.954, 4.954 Å; angles 60.00, 60.00, 60.00 degrees
Positions (direct):
Na  0.750  0.750  0.750
Na  0.250  0.250  0.250
Cu  0.500  0.500  0.500
V  0.000  0.000  0.000

Summary:
As for the magnetization: 4.370 μB/cell. The formation energy is 0.916 eV/atom. The calculation puts the energy at -12.2 eV per cell.

***

The following is a PBE-GGA calculation of a relaxed structure of NaCu2W2, from Alexandria via LeMat-Bulk.

Cell lengths 8.032, 8.032, 2.578 Å; angles 90.00, 90.00, 90.00 degrees
Positions (direct):
Cu  0.820  0.680  0.000
Cu  0.180  0.320  0.000
Cu  0.680  0.180  0.000
Cu  0.320  0.820  0.000
W  0.112  0.612  0.500
W  0.612  0.888  0.500
W  0.388  0.112  0.500
W  0.888  0.388  0.500
Na  0.500  0.500  0.000
Na  0.000  0.000  0.000

Summary:
As for the magnetization: 0.000 μB/cell. The formation energy is 0.598 eV/atom. The calculation puts the energy at -64.9 eV per cell.

***

The following is a PBE-GGA calculation of a relaxed structure of Na3CuW, from Alexandria via LeMat-Bulk.

Cell lengths 5.918, 5.918, 5.918 Å; angles 90.00, 90.00, 90.00 degrees
Positions (direct):
W  0.000  0.000  0.000
Na  0.000  0.000  0.500
Na  0.000  0.500  0.000
Na  0.500  0.000  0.000
Cu  0.500  0.500  0.500

Summary:
The calculation puts the energy above the most stable polymorph in this dataset at 307 meV/atom. As for the magnetization: 5.753 μB/cell. The formation energy is 1.787 eV/atom. The calculation puts the energy at -12.1 eV per cell.

***

The following is a PBE-GGA calculation of a relaxed structure of Na3CuW, from Alexandria via LeMat-Bulk.

Cell lengths 5.299, 5.299, 5.299 Å; angles 90.00, 90.00, 90.00 degrees
Positions (direct):
W  0.500  0.500  0.500
Cu  0.000  0.000  0.000
Na  0.000  0.500  0.000
Na  0.500  0.000  0.000
Na  0.000  0.000  0.500

Summary:
The calculation puts the energy above the most stable polymorph in this dataset at 0 meV/atom. As for the magnetization: 4.778 μB/cell. The formation energy is 1.479 eV/atom. The calculation puts the energy at -13.6 eV per cell.

***

The following is a PBE-GGA calculation of a relaxed structure of NaCuW3, from Alexandria via LeMat-Bulk.

Cell lengths 4.603, 4.603, 4.603 Å; angles 90.00, 90.00, 90.00 degrees
Positions (direct):
Cu  0.000  0.000  0.000
W  0.000  0.500  0.000
W  0.500  0.000  0.000
W  0.000  0.000  0.500
Na  0.500  0.500  0.500

Summary:
The calculation puts the energy above the most stable polymorph in this dataset at 0 meV/atom. As for the magnetization: 0.000 μB/cell. The formation energy is 2.080 eV/atom. The calculation puts the energy at -33.9 eV per cell.

***

- Among the records above, which one has the lowest formation energy?
  NaTmCu10